Material: RbBiMoO5
Method: DFT, GGA+U
State: optimized geometry Values from VASP.

Values from the calculation:
Magnetization   0.000 μB/atom
Volume   161 Å³/f.u.
Total energy   -6.134 eV/atom

Structure (Quantum ESPRESSO input):
```
&SYSTEM
  ibrav = 0, nat = 16, ntyp = 4
/
ATOMIC_SPECIES
Rb 85.47 Rb.upf
Bi 208.98 Bi.upf
Mo 95.94 Mo.upf
O 16.00 O.upf
CELL_PARAMETERS angstrom
6.640 0.051 -0.057
-1.889 6.366 -0.057
-2.041 -2.756 7.672
ATOMIC_POSITIONS angstrom
Rb 0.367 3.629 1.861
Rb 2.343 0.032 5.697
Bi -1.020 -1.378 3.836
Bi 0.000 0.000 0.000
Mo 3.435 1.357 1.861
Mo -0.725 2.304 5.697
O -1.825 5.252 1.861
O 4.535 -1.590 5.697
O 4.951 1.641 0.918
O -2.240 2.020 6.640
O 3.607 -0.175 2.804
O -0.896 3.836 4.754
O 3.118 2.725 2.988
O -0.407 0.937 4.570
O 2.035 1.262 0.734
O 0.676 2.399 6.824
```